BaMg2ZnAg4 | GGA-PBE | optimized geometry

abc: 10.228 10.228 10.228
angles: 26.33 26.33 26.33
Fractional positions:
Ba  0.000  0.000  0.000
Mg  0.232  0.232  0.232
Mg  0.768  0.768  0.768
Zn  0.500  0.500  0.500
Ag  0.134  0.134  0.134
Ag  0.410  0.410  0.410
Ag  0.590  0.590  0.590
Ag  0.866  0.866  0.866

## Properties
M_tot   0.0 μB/cell
Space-group type   R-3m
E_tot   -2.384 eV/atom
E_form   -0.16 eV/atom

***

Ba2Mg6ZnAg | GGA-PBE | optimized geometry

abc: 7.459 7.459 7.454
angles: 119.94 119.94 90.07
Fractional positions:
Ba  0.250  0.750  0.000
Ba  0.750  0.250  0.000
Mg  0.249  0.249  0.500
Mg  0.249  0.249  0.998
Mg  0.249  0.751  0.500
Mg  0.751  0.249  0.500
Mg  0.751  0.751  0.002
Mg  0.751  0.751  0.500
Zn  0.000  0.000  0.500
Ag  0.500  0.500  0.500

## Properties
M_tot   0.0 μB/cell
Space-group type   C2/m
E_tot   -1.797 eV/atom
E_form   -0.04 eV/atom

***

BaMgZrAg2 | GGA-PBE | optimized geometry

abc: 5.054 5.054 5.790
angles: 90.00 90.00 90.00
Fractional positions:
Ba  0.000  0.000  0.000
Mg  0.000  0.000  0.500
Zr  0.500  0.500  0.000
Ag  0.000  0.500  0.500
Ag  0.500  0.000  0.500

## Properties
M_tot   1.9 μB/cell
Space-group type   P4/mmm
E_tot   -2.708 eV/atom
E_form   0.85 eV/atom

***

BaMn2Ag | GGA-PBE | optimized geometry

abc: 3.304 4.883 5.957
angles: 90.00 99.07 90.00
Fractional positions:
Ba  0.000  0.000  0.000
Mn  0.278  0.500  0.604
Mn  0.722  0.500  0.396
Ag  0.500  0.000  0.500

## Properties
M_tot   0.0 μB/cell
Space-group type   P2/m
E_tot   -4.961 eV/atom
E_form   0.82 eV/atom